(1)
A relaxed Li2ZrRe crystal, computed with PBE.

The structure belongs to space group Cmmm (No. 65); the cell edges are 2.794, 4.711 and 10.427 Å and the angles 90.00°, 90.00° and 90.00°. Symmetry generates all atoms from Li at (0.000, 0.000, 0.225), Zr at (0.000, 0.500, 0.500) and Re at (0.000, 0.500, 0.000).

As for the offset from the most stable computed form: 0.150 eV per atom. The calculation puts the formation enthalpy at 0 K at 0.34 eV per atom.

***

(2)
A relaxed Li2ZrRe crystal, computed with PBE.

The structure belongs to space group P4/mmm (No. 123); the cell edges are 3.784, 3.784 and 4.778 Å and the angles 90.00°, 90.00° and 90.00°. Symmetry generates all atoms from Li at (0.000, 0.500, 0.000), Zr at (0.000, 0.000, 0.500) and Re at (0.500, 0.500, 0.500).

As for the offset from the most stable computed form: 0.169 eV per atom. The calculation puts the formation enthalpy at 0 K at 0.36 eV per atom.

***

(3)
A relaxed LiZr2Re crystal, computed with PBE.

The structure belongs to space group I-42d (No. 122); the cell edges are 7.268, 7.268 and 5.763 Å and the angles 90.00°, 90.00° and 90.00°. Symmetry generates all atoms from Li at (0.000, 0.000, 0.000), Zr at (0.249, 0.250, 0.625) and Re at (0.000, 0.000, 0.500).

As for the offset from the most stable computed form: 0.589 eV per atom. The calculation puts the formation enthalpy at 0 K at 0.45 eV per atom.

***

(4)
A relaxed Li2ZrRe crystal, computed with PBE.

The structure belongs to space group I-4m2 (No. 119); the cell edges are 4.019, 4.019 and 7.944 Å and the angles 90.00°, 90.00° and 90.00°. Symmetry generates all atoms from Li at (0.000, 0.000, 0.000), Li at (0.000, 0.500, 0.250), Zr at (0.000, 0.000, 0.500) and Re at (0.000, 0.500, 0.750).

As for the offset from the most stable computed form: 0.227 eV per atom. The calculation puts the formation enthalpy at 0 K at 0.42 eV per atom.

***

(5)
A relaxed Li2ZrRe crystal, computed with PBE.

The structure belongs to space group I4/mmm (No. 139); the cell edges are 3.804, 3.804 and 9.267 Å and the angles 90.00°, 90.00° and 90.00°. Symmetry generates all atoms from Li at (0.000, 0.500, 0.250), Zr at (0.000, 0.000, 0.000) and Re at (0.000, 0.000, 0.500).

As for the offset from the most stable computed form: 0.146 eV per atom. The calculation puts the formation enthalpy at 0 K at 0.34 eV per atom.

***

(6)
A relaxed Li2ZrRe crystal, computed with PBE.

The structure belongs to space group Cm (No. 8); the cell edges are 9.411, 2.641 and 5.484 Å and the angles 90.00°, 96.52° and 90.00°. Symmetry generates all atoms from Li at (0.000, 0.000, 0.000), Li at (0.243, 0.500, 0.233), Zr at (0.242, 0.000, 0.711) and Re at (0.487, 0.000, 0.475).

As for the offset from the most stable computed form: 0.174 eV per atom. The calculation puts the formation enthalpy at 0 K at 0.36 eV per atom.